VASP calculation (PBE-GGA) on crystalline CaAcLa14 at its relaxed geometry.

```
data_CaAcLa14
_chemical_formula_sum 'Ca2 Ac2 La28'
_symmetry_space_group_name_H-M 'A m m 2'
_symmetry_Int_Tables_number 38
_symmetry_space_group_name_Hall 'A 2 -2'
_cell_length_a 12.168
_cell_length_b 7.593
_cell_length_c 13.191
_cell_angle_alpha 90.00
_cell_angle_beta 90.00
_cell_angle_gamma 90.00
loop_
_atom_site_label
_atom_site_type_symbol
_atom_site_fract_x
_atom_site_fract_y
_atom_site_fract_z
Ca1 Ca 0.000 0.000 0.000
Ac1 Ac 0.000 0.000 0.497
La1 La 0.000 0.245 0.251
La2 La 0.250 0.000 0.828
La3 La 0.252 0.000 0.331
La4 La 0.253 0.246 0.586
La5 La 0.500 0.000 0.498
La6 La 0.500 0.000 0.997
La7 La 0.500 0.250 0.250
```

Computed properties:
Magnetization, μB per formula unit: 0.0
Calculated formation energy, eV per formula unit: 0.55
Calculated density, g/cm³: 6.03